# NdSmTl4 (PBE, optimized geometry)
data_NdSmTl4
_chemical_formula_sum 'Nd2 Sm2 Tl8'
_symmetry_space_group_name_H-M 'C 1 2/m 1'
_symmetry_Int_Tables_number 12
_symmetry_space_group_name_Hall '-C 2y'
_cell_length_a 7.2683
_cell_length_b 7.2775
_cell_length_c 7.6634
_cell_angle_alpha 90.00
_cell_angle_beta 90.22
_cell_angle_gamma 90.00
loop_
_atom_site_label
_atom_site_type_symbol
_atom_site_fract_x
_atom_site_fract_y
_atom_site_fract_z
_atom_site_occupancy
Nd1 Nd 0.0000 0.0000 0.0000 1
Sm1 Sm 0.0000 0.5000 0.5000 1
Tl1 Tl 0.2498 0.2489 0.7456 1
# E_form ... -14.3 kJ/mol of formula units
# Offset from the most stable computed form ... 0.65 eV per formula unit
# Total DFT energy (no corrections) ... -3.18 eV per atom
# Spin magnetization ... 0.0 μB per formula unit



# NdSm2Tl (PBE, optimized geometry)
data_NdSm2Tl
_chemical_formula_sum 'Nd3 Sm6 Tl3'
_symmetry_space_group_name_H-M 'R -3 m'
_symmetry_Int_Tables_number 166
_symmetry_space_group_name_Hall '-R 3 2"'
_cell_length_a 3.6821
_cell_length_b 3.6821
_cell_length_c 33.2942
_cell_angle_alpha 90.00
_cell_angle_beta 90.00
_cell_angle_gamma 120.00
loop_
_atom_site_label
_atom_site_type_symbol
_atom_site_fract_x
_atom_site_fract_y
_atom_site_fract_z
_atom_site_occupancy
Nd1 Nd 0.0000 0.0000 0.0000 1
Sm1 Sm 0.0000 0.0000 0.2449 1
Tl1 Tl 0.0000 0.0000 0.5000 1
# E_form ... -42.3 kJ/mol of formula units
# Offset from the most stable computed form ... 0.35 eV per formula unit
# Total DFT energy (no corrections) ... -4.25 eV per atom
# Spin magnetization ... 0.0 μB per formula unit



# NdSm3Tl2 (PBE, optimized geometry)
data_NdSm3Tl2
_chemical_formula_sum 'Nd2 Sm6 Tl4'
_symmetry_space_group_name_H-M 'P m c 21'
_symmetry_Int_Tables_number 26
_symmetry_space_group_name_Hall 'P 2c -2'
_cell_length_a 5.2330
_cell_length_b 10.2625
_cell_length_c 6.8944
_cell_angle_alpha 90.00
_cell_angle_beta 90.00
_cell_angle_gamma 90.00
loop_
_atom_site_label
_atom_site_type_symbol
_atom_site_fract_x
_atom_site_fract_y
_atom_site_fract_z
_atom_site_occupancy
Nd1 Nd 0.0000 0.0428 0.0000 1
Sm1 Sm 0.0000 0.3169 0.6290 1
Sm2 Sm 0.5000 0.1863 0.2723 1
Sm3 Sm 0.5000 0.4568 0.9040 1
Tl1 Tl 0.0000 0.3652 0.1596 1
Tl2 Tl 0.5000 0.1369 0.7409 1
# E_form ... -157.5 kJ/mol of formula units
# Offset from the most stable computed form ... 0.00 eV per formula unit
# Total DFT energy (no corrections) ... -4.21 eV per atom
# Spin magnetization ... 0.0 μB per formula unit



# Nd3SmTl2 (PBE, optimized geometry)
data_Nd3SmTl2
_chemical_formula_sum 'Nd12 Sm4 Tl8'
_symmetry_space_group_name_H-M 'C 1 2/m 1'
_symmetry_Int_Tables_number 12
_symmetry_space_group_name_Hall '-C 2y'
_cell_length_a 16.7483
_cell_length_b 5.1065
_cell_length_c 10.3240
_cell_angle_alpha 90.00
_cell_angle_beta 119.12
_cell_angle_gamma 90.00
loop_
_atom_site_label
_atom_site_type_symbol
_atom_site_fract_x
_atom_site_fract_y
_atom_site_fract_z
_atom_site_occupancy
Nd1 Nd 0.0424 0.0000 0.3630 1
Nd2 Nd 0.1316 0.5000 0.6727 1
Nd3 Nd 0.2122 0.5000 0.3818 1
Sm1 Sm 0.1191 0.0000 0.0662 1
Tl1 Tl 0.0085 0.5000 0.8572 1
Tl2 Tl 0.2395 0.0000 0.8948 1
# E_form ... -108.0 kJ/mol of formula units
# Offset from the most stable computed form ... 0.52 eV per formula unit
# Total DFT energy (no corrections) ... -4.15 eV per atom
# Spin magnetization ... 0.0 μB per formula unit



# Nd3Sm2Tl2 (PBE, optimized geometry)
data_Nd3Sm2Tl2
_chemical_formula_sum 'Nd6 Sm4 Tl4'
_symmetry_space_group_name_H-M 'C m m m'
_symmetry_Int_Tables_number 65
_symmetry_space_group_name_Hall '-C 2 2'
_cell_length_a 4.8934
_cell_length_b 24.8700
_cell_length_c 3.5899
_cell_angle_alpha 90.00
_cell_angle_beta 90.00
_cell_angle_gamma 90.00
loop_
_atom_site_label
_atom_site_type_symbol
_atom_site_fract_x
_atom_site_fract_y
_atom_site_fract_z
_atom_site_occupancy
Nd1 Nd 0.0000 0.0000 0.0000 1
Nd2 Nd 0.0000 0.1399 0.0000 1
Sm1 Sm 0.0000 0.2880 0.5000 1
Tl1 Tl 0.0000 0.4281 0.5000 1
# E_form ... -75.1 kJ/mol of formula units
# Offset from the most stable computed form ... 0.65 eV per formula unit
# Total DFT energy (no corrections) ... -4.18 eV per atom
# Spin magnetization ... 0.0 μB per formula unit



# NdSm5Tl4 (PBE, optimized geometry)
data_NdSm5Tl4
_chemical_formula_sum 'Nd1 Sm5 Tl4'
_symmetry_space_group_name_H-M 'P 4/m m m'
_symmetry_Int_Tables_number 123
_symmetry_space_group_name_Hall '-P 4 2'
_cell_length_a 3.6279
_cell_length_b 3.6279
_cell_length_c 22.6982
_cell_angle_alpha 90.00
_cell_angle_beta 90.00
_cell_angle_gamma 90.00
loop_
_atom_site_label
_atom_site_type_symbol
_atom_site_fract_x
_atom_site_fract_y
_atom_site_fract_z
_atom_site_occupancy
Nd1 Nd 0.0000 0.0000 0.0000 1
Sm1 Sm 0.5000 0.5000 0.1159 1
Sm2 Sm 0.5000 0.5000 0.3075 1
Sm3 Sm 0.5000 0.5000 0.5000 1
Tl1 Tl 0.0000 0.0000 0.2111 1
Tl2 Tl 0.0000 0.0000 0.4036 1
# E_form ... -281.8 kJ/mol of formula units
# Total DFT energy (no corrections) ... -4.07 eV per atom
# Spin magnetization ... 0.0 μB per formula unit



# NdSm4Tl2 (PBE, optimized geometry)
data_NdSm4Tl2
_chemical_formula_sum 'Nd3 Sm12 Tl6'
_symmetry_space_group_name_H-M 'R -3 m'
_symmetry_Int_Tables_number 166
_symmetry_space_group_name_Hall '-R 3 2"'
_cell_length_a 5.2334
_cell_length_b 5.2334
_cell_length_c 31.5106
_cell_angle_alpha 90.00
_cell_angle_beta 90.00
_cell_angle_gamma 120.00
loop_
_atom_site_label
_atom_site_type_symbol
_atom_site_fract_x
_atom_site_fract_y
_atom_site_fract_z
_atom_site_occupancy
Nd1 Nd 0.0000 0.0000 0.0000 1
Sm1 Sm 0.0000 0.0000 0.2052 1
Sm2 Sm 0.0000 0.0000 0.3894 1
Tl1 Tl 0.0000 0.0000 0.1010 1
# E_form ... 52.2 kJ/mol of formula units
# Offset from the most stable computed form ... 1.15 eV per formula unit
# Total DFT energy (no corrections) ... -3.98 eV per atom
# Spin magnetization ... 1.1 μB per formula unit



# Nd2Sm5Tl (PBE, optimized geometry)
data_Nd2Sm5Tl
_chemical_formula_sum 'Nd4 Sm10 Tl2'
_symmetry_space_group_name_H-M 'I m m m'
_symmetry_Int_Tables_number 71
_symmetry_space_group_name_Hall '-I 2 2'
_cell_length_a 3.5252
_cell_length_b 10.1614
_cell_length_c 14.8639
_cell_angle_alpha 90.00
_cell_angle_beta 90.00
_cell_angle_gamma 90.00
loop_
_atom_site_label
_atom_site_type_symbol
_atom_site_fract_x
_atom_site_fract_y
_atom_site_fract_z
_atom_site_occupancy
Nd1 Nd 0.0000 0.0000 0.2243 1
Sm1 Sm 0.0000 0.0000 0.0000 1
Sm2 Sm 0.0000 0.2354 0.3819 1
Tl1 Tl 0.0000 0.5000 0.0000 1
# E_form ... 12.5 kJ/mol of formula units
# Total DFT energy (no corrections) ... -4.42 eV per atom
# Spin magnetization ... 0.0 μB per formula unit